HoZnGe: optimized geometry, PBE.

```
HoZnGe
1.0
0.000 3.312 3.312
3.312 0.000 3.312
3.312 3.312 0.000
Ho Zn Ge
1 1 1
Cartesian
0.000 0.000 0.000
1.656 1.656 1.656
4.968 4.968 4.968
```

- V (Å³/atom) = 24.22
- magnetization (μB/f.u.) = 0.002
- SG = F-43m, No. 216
- calculated total energy (eV per formula unit) = -10.8

=====

Hf5Te3Mo: optimized geometry, PBE.

```
Hf5Te3Mo
1.0
8.055 0.000 0.000
-4.028 6.976 0.000
0.000 0.000 3.539
Hf Te Mo
5 3 1
Cartesian
-1.016 1.760 0.000
2.032 0.000 0.000
0.000 4.651 0.000
4.028 2.325 0.000
3.012 5.216 0.000
-2.455 4.252 1.770
1.573 2.724 1.770
4.910 0.000 1.770
0.000 0.000 1.770
```

- V (Å³/atom) = 22.10
- magnetization (μB/f.u.) = 0.011
- SG = P-62m, No. 189
- calculated total energy (eV per formula unit) = -69.9

=====

Ba2MgSi2Ir: optimized geometry, PBE.

```
Ba2MgSi2Ir
1.0
4.220 0.000 0.000
0.000 4.220 0.000
0.000 0.000 10.121
Ba Mg Si Ir
2 1 2 1
Cartesian
0.000 2.110 2.088
2.110 0.000 8.033
2.110 2.110 5.061
0.000 2.110 6.449
2.110 0.000 3.672
0.000 0.000 5.061
```

- V (Å³/atom) = 30.04
- magnetization (μB/f.u.) = 0.010
- SG = P-4m2, No. 115
- calculated total energy (eV per formula unit) = -27.5

=====

PmDy: optimized geometry, PBE.

```
PmDy
1.0
0.000 3.233 3.233
3.233 0.000 3.233
3.233 3.233 0.000
Pm Dy
1 1
Cartesian
0.000 0.000 0.000
3.233 3.233 3.233
```

- relative energy among the computed polymorphs (meV per atom) = 679.8
- V (Å³/atom) = 33.80
- magnetization (μB/f.u.) = 0.754
- SG = Fm-3m, No. 225
- calculated total energy (eV per formula unit) = -7.9

=====

ErTmSiI2: optimized geometry, PBE.

```
ErTmSiI2
1.0
4.180 0.000 0.000
-2.090 3.620 0.000
-1.639 -1.309 11.431
Er Tm Si I
1 1 1 2
Cartesian
0.000 0.000 0.000
-0.001 2.414 3.040
2.090 1.206 1.524
-1.639 1.105 9.435
-0.001 0.001 5.031
```

- V (Å³/atom) = 34.60
- magnetization (μB/f.u.) = 0.007
- SG = P1, No. 1
- calculated total energy (eV per formula unit) = -23.1

=====

BaPAu: optimized geometry, PBE.

```
BaPAu
1.0
4.459 0.000 0.000
-2.229 3.861 0.000
0.000 0.000 9.235
Ba P Au
2 2 2
Cartesian
0.000 0.000 0.000
0.000 0.000 4.617
0.000 2.574 2.309
2.229 1.287 6.926
0.000 2.574 6.926
2.229 1.287 2.309
```

- V (Å³/atom) = 26.50
- SG = P6_3/mmc, No. 194
- calculated total energy (eV per formula unit) = -13.2

=====

MgHgSeO: optimized geometry, PBE.

```
MgHgSeO
1.0
4.072 0.000 0.000
0.000 4.072 0.000
0.000 0.000 10.123
Mg Hg Se O
2 2 2 2
Cartesian
1.018 1.018 1.317
3.054 3.054 8.806
1.018 1.018 6.036
3.054 3.054 4.087
1.018 1.018 8.791
3.054 3.054 1.332
1.018 3.054 5.062
3.054 1.018 5.062
```

- relative energy among the computed polymorphs (meV per atom) = 747.3
- V (Å³/atom) = 20.98
- SG = P4/nmm, No. 129
- calculated total energy (eV per formula unit) = -12.1

=====

Rb2ScCuCl6: optimized geometry, PBE.

```
Rb2ScCuCl6
1.0
0.000 5.025 5.025
5.025 0.000 5.025
5.025 5.025 0.000
Rb Sc Cu Cl
2 1 1 6
Cartesian
2.513 2.513 2.513
7.538 7.538 7.538
0.000 0.000 0.000
5.025 5.025 5.025
5.025 5.025 2.497
5.025 2.497 5.025
7.554 5.025 5.025
2.497 5.025 5.025
5.025 7.554 5.025
5.025 5.025 7.554
```

- V (Å³/atom) = 25.38
- magnetization (μB/f.u.) = 0.001
- SG = Fm-3m, No. 225
- calculated total energy (eV per formula unit) = -40.2